DFT (PBE) results for BaTcSe2Br after structural relaxation.

- total magnetic moment (μB/cell) = 4.870
- ΔE_f (raw) (meV per atom) = 661
- E_tot (eV per atom) = -3.525
- E above lowest polymorph (meV/atom) = 1420
- theoretical density (g cm⁻³) = 3.61

a b c (Å): 6.0223 6.0223 6.0001
angles (deg): 90.00 90.00 90.00
Last column: nearest neighbours and their distance in Å.
Space group P4/mmm (No. 123)
Unique sites:
Ba1 0.0000 0.0000 0.0000 [1 per cell]  2 Br 3.00, 4 Se 3.01
Tc1 0.5000 0.5000 0.5000 [1 per cell]  8 Se 4.25, 4 Br 4.26
Se1 0.0000 0.5000 0.0000 [2 per cell]  2 Ba 3.01
Br1 0.0000 0.0000 0.5000 [1 per cell]  2 Ba 3.00